# HfAlN3

HfAlN3 after structural relaxation (GGA-PBE, the Alexandria database).

Calculated values
Space-group type   Pm-3m
Electronic total energy   -39.3 eV/cell
Formation energy from raw total energies   -0.135 eV per atom

```
data_HfAlN3
_space_group_name_H-M_alt 'P 1'
_space_group_IT_number 1
_cell_length_a 3.676
_cell_length_b 3.676
_cell_length_c 3.676
_cell_angle_alpha 90.00
_cell_angle_beta 90.00
_cell_angle_gamma 90.00
loop_
_space_group_symop_operation_xyz
'x,y,z'
loop_
_atom_site_label
_atom_site_type_symbol
_atom_site_fract_x
_atom_site_fract_y
_atom_site_fract_z
_atom_site_occupancy
N1 N 0.500 0.000 0.000 1
N2 N 0.000 0.500 0.000 1
N3 N 0.000 0.000 0.500 1
Al1 Al 0.000 0.000 0.000 1
Hf1 Hf 0.500 0.500 0.500 1
```